Record 1
DFT (GGA-PBE) results for a relaxed structure of AcSmScTe3.

Computed properties:
calculated total energy	-5.37	eV/atom
mass density	6.76	g/cm3

a b c (Å): 9.222 4.434 10.073
angles (deg): 90.00 106.12 90.00
Fractional coordinates of all 12 atoms:
1 Ac 0.185 0.250 0.232
2 Ac 0.815 0.750 0.768
3 Sm 0.337 0.750 0.850
4 Sm 0.663 0.250 0.150
5 Sc 0.091 0.250 0.596
6 Sc 0.909 0.750 0.404
7 Te 0.101 0.250 0.883
8 Te 0.246 0.750 0.506
9 Te 0.434 0.750 0.178
10 Te 0.566 0.250 0.822
11 Te 0.754 0.250 0.494
12 Te 0.899 0.750 0.117

---

Record 2
DFT (GGA-PBE) results for a relaxed structure of AcSmThSc.

Computed properties:
energy of formation from the pure elements	0.154	eV per atom
mass density	8.18	g/cm3

a b c (Å): 8.099 8.099 8.099
angles (deg): 90.00 90.00 90.00
Fractional coordinates of all 16 atoms:
1 Ac 0.000 0.000 0.000
2 Ac 0.000 0.500 0.500
3 Ac 0.500 0.000 0.500
4 Ac 0.500 0.500 0.000
5 Sm 0.250 0.250 0.750
6 Sm 0.250 0.750 0.250
7 Sm 0.750 0.250 0.250
8 Sm 0.750 0.750 0.750
9 Th 0.000 0.000 0.500
10 Th 0.000 0.500 0.000
11 Th 0.500 0.000 0.000
12 Th 0.500 0.500 0.500
13 Sc 0.250 0.250 0.250
14 Sc 0.250 0.750 0.750
15 Sc 0.750 0.250 0.750
16 Sc 0.750 0.750 0.250

---

Record 3
DFT (GGA-PBE) results for a relaxed structure of AcSmScTl.

Computed properties:
energy of formation from the pure elements	0.059	eV per atom
mass density	8.68	g/cm3

a b c (Å): 7.826 7.826 7.826
angles (deg): 90.00 90.00 90.00
Fractional coordinates of all 16 atoms:
1 Ac 0.000 0.000 0.000
2 Ac 0.000 0.500 0.500
3 Ac 0.500 0.000 0.500
4 Ac 0.500 0.500 0.000
5 Sm 0.250 0.250 0.750
6 Sm 0.250 0.750 0.250
7 Sm 0.750 0.250 0.250
8 Sm 0.750 0.750 0.750
9 Sc 0.250 0.250 0.250
10 Sc 0.250 0.750 0.750
11 Sc 0.750 0.250 0.750
12 Sc 0.750 0.750 0.250
13 Tl 0.000 0.000 0.500
14 Tl 0.000 0.500 0.000
15 Tl 0.500 0.000 0.000
16 Tl 0.500 0.500 0.500